(1)
# Pa4OsRuSe2

A geometry-optimized Pa4OsRuSe2 structure (GGA-PBE, the Alexandria database).

abc: 6.8097 3.9398 7.4418
angles: 90.00 107.76 90.00
With the nearest neighbours (Å) after each atom.
Space group P2/m (No. 10)
Inequivalent atoms, fractional coordinates:
Pa1 0.2410 0.0000 0.2237 (multiplicity 2)  1 Os 2.77, 2 Ru 2.77, 3 Se 3.00
Pa2 0.2582 0.5000 0.7768 (multiplicity 2)  1 Ru 2.76, 2 Os 2.77, 3 Se 3.00
Os1 0.5000 0.0000 0.0000 (multiplicity 1)  6 Pa 2.77
Ru1 0.0000 0.5000 0.0000 (multiplicity 1)  6 Pa 2.76-2.77
Se1 0.0000 0.0000 0.5000 (multiplicity 1)  6 Pa 3.00
Se2 0.5000 0.5000 0.5000 (multiplicity 1)  6 Pa 3.00

- size of the total moment (μB/f.u.) = 0.000
- formation energy without anion corrections (kJ/mol of formula units) = -627

(2)
# LiErTm2Rh4

A geometry-optimized LiErTm2Rh4 structure (GGA-PBE, the Alexandria database).

abc: 4.6564 4.6564 22.8973
angles: 90.00 90.00 120.00
With the nearest neighbours (Å) after each atom.
Space group R-3m (No. 166, hexagonal axes)
Inequivalent atoms, fractional coordinates:
Li1 0.0000 0.0000 0.0000 (multiplicity 3)  8 Rh 2.84-2.87
Er1 0.0000 0.0000 0.5000 (multiplicity 3)  8 Rh 2.82-2.86
Tm1 0.0000 0.0000 0.2575 (multiplicity 6)  7 Rh 2.73-2.91
Rh1 0.0000 0.0000 0.1239 (multiplicity 6)  1 Li 2.84, 3 Er 2.86, 4 Tm 2.91-3.06
Rh2 0.0000 0.0000 0.3766 (multiplicity 6)  4 Tm 2.73-2.79, 1 Er 2.82, 3 Li 2.87

- size of the total moment (μB/f.u.) = 0.000
- energy of formation (eV/atom) = -0.7856

(3)
# Sn2HgPb2

A geometry-optimized Sn2HgPb2 structure (GGA-PBE, the Alexandria database).

abc: 3.5236 23.9231 3.4850
angles: 90.00 90.00 90.00
With the nearest neighbours (Å) after each atom.
Space group Cmmm (No. 65)
Inequivalent atoms, fractional coordinates:
Sn1 0.0000 0.1947 0.0000 (multiplicity 4)  6 Sn 3.18-3.52, 4 Pb 3.39
Hg1 0.0000 0.0000 0.0000 (multiplicity 2)  8 Pb 3.41, 4 Hg 3.48-3.52
Pb1 0.0000 0.4020 0.5000 (multiplicity 4)  4 Sn 3.39, 4 Hg 3.41, 4 Pb 3.48-3.52

- size of the total moment (μB/f.u.) = 0.000
- energy of formation (eV/atom) = 0.0551
- offset from the most stable computed form (eV per formula unit) = 0.01

(4)
# Er2Tm2Cd

A geometry-optimized Er2Tm2Cd structure (GGA-PBE, the Alexandria database).

abc: 3.5020 3.5020 23.2010
angles: 90.00 90.00 90.00
With the nearest neighbours (Å) after each atom.
Space group I4/mmm (No. 139)
Inequivalent atoms, fractional coordinates:
Er1 0.0000 0.0000 0.0911 (multiplicity 4)  4 Cd 3.25, 4 Tm 3.50, 4 Er 3.50
Tm1 0.0000 0.0000 0.3025 (multiplicity 4)  8 Tm 3.47-3.50, 4 Er 3.50
Cd1 0.0000 0.0000 0.5000 (multiplicity 2)  8 Er 3.25, 4 Cd 3.50

- size of the total moment (μB/f.u.) = 0.002
- energy of formation (eV/atom) = -0.1053
- offset from the most stable computed form (eV per formula unit) = 0.00

(5)
# Ti2V6Mo

A geometry-optimized Ti2V6Mo structure (GGA-PBE, the Alexandria database).

abc: 13.1807 7.6856 2.6034
angles: 90.00 93.64 90.00
With the nearest neighbours (Å) after each atom.
Space group C2/m (No. 12)
Inequivalent atoms, fractional coordinates:
Ti1 0.1660 0.0000 0.4973 (multiplicity 4)  2 Ti 2.60, 6 V 2.70-2.80
V1 0.0000 0.1701 0.0000 (multiplicity 4)  5 V 2.59-2.61, 2 Ti 2.80, 2 Mo 2.85
V2 0.1687 0.3299 0.8503 (multiplicity 8)  5 V 2.55-2.61, 1 Mo 2.69, 2 Ti 2.70-2.74
Mo1 0.0000 0.5000 0.5000 (multiplicity 2)  2 Mo 2.60, 8 V 2.69-2.85

- size of the total moment (μB/f.u.) = 0.005
- energy of formation (eV/atom) = 0.1178

(6)
# NaMnVS3

A geometry-optimized NaMnVS3 structure (GGA-PBE, the Alexandria database).

abc: 7.5288 3.3410 8.8655
angles: 90.00 112.18 90.00
With the nearest neighbours (Å) after each atom.
Space group P2_1/m (No. 11)
Inequivalent atoms, fractional coordinates:
Na1 0.2408 0.2500 0.2530 (multiplicity 2)  7 S 2.86-3.14
Mn1 0.3137 0.7500 0.8374 (multiplicity 2)  6 S 2.33-2.45
V1 0.0866 0.2500 0.6126 (multiplicity 2)  4 S 2.24-2.44
S1 0.1122 0.2500 0.8724 (multiplicity 2)  1 V 2.24, 2 Mn 2.35
S2 0.2580 0.7500 0.5470 (multiplicity 2)  3 V 2.32-2.44, 1 Mn 2.45
S3 0.4580 0.7500 0.1242 (multiplicity 2)  3 Mn 2.33-2.36

- size of the total moment (μB/f.u.) = 1.042
- formation energy without anion corrections (kJ/mol of formula units) = -466

(7)
# Li2Er3Al4

A geometry-optimized Li2Er3Al4 structure (GGA-PBE, the Alexandria database).

abc: 10.5691 4.6511 8.7668
angles: 90.00 118.02 90.00
With the nearest neighbours (Å) after each atom.
Space group C2/m (No. 12)
Inequivalent atoms, fractional coordinates:
Li1 0.0975 0.0000 0.2666 (multiplicity 4)  3 Al 2.70-2.74
Er1 0.0000 0.5000 0.0000 (multiplicity 2)  8 Al 3.11-3.27, 4 Li 3.11, 2 Er 3.35
Er2 0.1722 0.0000 0.6578 (multiplicity 4)  8 Al 3.12-3.37, 4 Li 3.14-3.22, 2 Er 3.35-3.38
Al1 0.0348 0.5000 0.3723 (multiplicity 4)  1 Al 2.67, 2 Li 2.70
Al2 0.2394 0.0000 0.0737 (multiplicity 4)  3 Al 2.72-2.99, 1 Li 2.74

- size of the total moment (μB/f.u.) = 0.000
- energy of formation (eV/atom) = -0.3162

(8)
# BaTa3Pt4S12

A geometry-optimized BaTa3Pt4S12 structure (GGA-PBE, the Alexandria database).

abc: 12.9290 12.9290 10.0282
angles: 90.00 90.00 120.00
With the nearest neighbours (Å) after each atom.
Space group R32 (No. 155, hexagonal axes)
Inequivalent atoms, fractional coordinates:
Ba1 0.0000 0.0000 0.0000 (multiplicity 3)  6 S 3.20
Ta1 0.0000 0.5568 0.0000 (multiplicity 9)  6 S 2.34-2.55
Pt1 0.0000 0.0000 0.5000 (multiplicity 3)  3 S 2.27
Pt2 0.0000 0.4314 0.5000 (multiplicity 9)  3 S 2.26
S1 0.0000 0.6064 0.5000 (multiplicity 9)  1 Pt 2.26
S2 0.0000 0.8246 0.5000 (multiplicity 9)  1 Pt 2.27, 2 Ta 2.47
S3 0.0476 0.1956 0.2242 (multiplicity 18)  1 Pt 2.26, 1 Ta 2.34

- size of the total moment (μB/f.u.) = 0.000
- formation energy without anion corrections (kJ/mol of formula units) = -995

(9)
# TaGaI3

A geometry-optimized TaGaI3 structure (GGA-PBE, the Alexandria database).

abc: 5.6010 5.6010 5.6010
angles: 90.00 90.00 90.00
With the nearest neighbours (Å) after each atom.
Space group Pm-3m (No. 221)
Inequivalent atoms, fractional coordinates:
Ta1 0.0000 0.0000 0.0000 (multiplicity 1)  12 I 3.96
Ga1 0.5000 0.5000 0.5000 (multiplicity 1)  6 I 2.80
I1 0.0000 0.5000 0.5000 (multiplicity 3)  2 Ga 2.80

- size of the total moment (μB/f.u.) = 3.601
- formation energy without anion corrections (kJ/mol of formula units) = 495
- offset from the most stable computed form (eV per formula unit) = 3.71

(10)
# NpAg3S4

A geometry-optimized NpAg3S4 structure (GGA-PBE, the Alexandria database).

abc: 5.4285 5.4285 10.8400
angles: 90.00 90.00 90.00
With the nearest neighbours (Å) after each atom.
Space group I4/mmm (No. 139)
Inequivalent atoms, fractional coordinates:
Np1 0.0000 0.0000 0.0000 (multiplicity 2)  6 S 2.63-2.71
Ag1 0.0000 0.0000 0.5000 (multiplicity 2)  6 S 2.71-2.79
Ag2 0.0000 0.5000 0.2500 (multiplicity 4)  6 S 2.71-2.72
S1 0.0000 0.0000 0.2425 (multiplicity 4)  1 Np 2.63, 5 Ag 2.72-2.79
S2 0.0000 0.5000 0.0000 (multiplicity 4)  4 Ag 2.71, 2 Np 2.71

- size of the total moment (μB/f.u.) = 2.273
- formation energy without anion corrections (kJ/mol of formula units) = -371
- offset from the most stable computed form (eV per formula unit) = 0.06

(11)
# AcSi3IrPd

A geometry-optimized AcSi3IrPd structure (GGA-PBE, the Alexandria database).

abc: 6.4308 12.9539 6.0516
angles: 90.00 90.00 90.00
With the nearest neighbours (Å) after each atom.
Space group Cmcm (No. 63)
Inequivalent atoms, fractional coordinates:
Ac1 0.0000 0.2282 0.2500 (multiplicity 4)  4 Si 3.03-3.27
Si1 0.0000 0.2261 0.7500 (multiplicity 4)  1 Ir 2.26, 1 Pd 2.29
Si2 0.2088 0.5000 0.0000 (multiplicity 8)  2 Ir 2.40, 2 Pd 2.49, 1 Si 2.69
Ir1 0.0000 0.4004 0.7500 (multiplicity 4)  5 Si 2.26-2.40
Pd1 0.0000 0.0495 0.7500 (multiplicity 4)  5 Si 2.29-2.49

- size of the total moment (μB/f.u.) = 0.000
- formation energy without anion corrections (kJ/mol of formula units) = -324

> Which formula does entry 5 have?

Ti2V6Mo